A plane-wave DFT calculation with PBE was carried out for a relaxed structure of MgPtAu. Values from VASP.

```
&SYSTEM
  ibrav = 0, nat = 3, ntyp = 3
/
ATOMIC_SPECIES
Mg 24.30 Mg.upf
Pt 195.08 Pt.upf
Au 196.97 Au.upf
CELL_PARAMETERS angstrom
0.0000 3.1309 3.1309
3.1309 0.0000 3.1309
3.1309 3.1309 0.0000
ATOMIC_POSITIONS crystal
Mg 0.0000 0.0000 0.0000
Pt 0.2500 0.2500 0.2500
Au 0.5000 0.5000 0.5000
```

The calculation puts the formation energy from the elements at -0.343 eV/atom. Its energy above the most stable polymorph in this dataset is 0.2180 eV per atom. As for the energy: -3.980 eV/atom.



A plane-wave DFT calculation with PBE was carried out for a relaxed structure of KMgAsSe3. Values from VASP.

```
&SYSTEM
  ibrav = 0, nat = 12, ntyp = 4
/
ATOMIC_SPECIES
K 39.10 K.upf
Mg 24.30 Mg.upf
As 74.92 As.upf
Se 78.96 Se.upf
CELL_PARAMETERS angstrom
8.4040 0.0000 0.0000
0.0000 3.8697 0.0000
-3.8851 0.0000 10.5959
ATOMIC_POSITIONS crystal
K 0.1995 0.2500 0.2464
K 0.8005 0.7500 0.7536
Mg 0.4009 0.7500 0.8705
Mg 0.5991 0.2500 0.1295
As 0.1467 0.2500 0.5601
As 0.8533 0.7500 0.4399
Se 0.1447 0.2500 0.7692
Se 0.3410 0.7500 0.5589
Se 0.3701 0.7500 0.0941
Se 0.6299 0.2500 0.9059
Se 0.6590 0.2500 0.4411
Se 0.8553 0.7500 0.2308
```

The uncorrected formation energy comes out at -0.766 eV/atom. As for the energy: -3.732 eV/atom.